1.
Computed, not measured: an optimized crystal structure of Er2Se3 at the PBEsol level of DFT.

The total magnetic moment is 0.000 μB/atom. The value obtained for the theoretical density is 7.03 g/cm³. The total DFT energy (no corrections) comes out at -6.152 eV per atom. The uncorrected formation energy comes out at -1.87 eV per atom.

It has space group Fddd (No. 70, origin choice 2), with a = 8.025 Å, b = 11.248 Å, c = 23.920 Å, α = 90.00°, β = 90.00° and γ = 90.00°. The distinct sites, in fractional coordinates, are Er at (0.125, 0.125, 0.041), Er at (0.125, 0.125, 0.377), Se at (0.119, 0.374, 0.207) and Se at (0.121, 0.375, 0.375).

---

2.
Computed, not measured: an optimized crystal structure of Cr2CoSe4 at the PBEsol level of DFT.

The calculation puts the density of states at the Fermi level at 0.68 states/eV/atom. The total magnetic moment is 0.572 μB/atom. The value obtained for the theoretical density is 6.79 g/cm³. The total DFT energy (no corrections) comes out at -6.624 eV per atom. The uncorrected formation energy comes out at -0.39 eV per atom.

It has space group C2/m (No. 12), with a = 12.228 Å, b = 3.537 Å, c = 6.138 Å, α = 90.00°, β = 118.13° and γ = 90.00°. The distinct sites, in fractional coordinates, are Cr at (0.243, 0.000, 0.220), Co at (0.000, 0.500, 0.500), Se at (0.112, 0.500, 0.948) and Se at (0.129, 0.000, 0.471).

---

3.
Computed, not measured: an optimized crystal structure of Sc2TeAs at the PBEsol level of DFT.

The calculation puts the density of states at the Fermi level at 0.43 states/eV/atom. The total magnetic moment is 0.000 μB/atom. The value obtained for the theoretical density is 5.50 g/cm³. The total DFT energy (no corrections) comes out at -6.820 eV per atom. The uncorrected formation energy comes out at -1.36 eV per atom.

It has space group R-3m (No. 166, hexagonal axes), with a = 3.9295 Å, b = 3.9295 Å, c = 19.8227 Å, α = 90.00°, β = 90.00° and γ = 120.00°. The distinct sites, in fractional coordinates, are Sc at (0.0000, 0.0000, 0.2383), Te at (0.0000, 0.0000, 0.0000) and As at (0.0000, 0.0000, 0.5000).

---

4.
Computed, not measured: an optimized crystal structure of CaCrBi2Br at the PBEsol level of DFT.

The calculation puts the density of states at the Fermi level at 1.28 states/eV/atom. The total magnetic moment is 0.834 μB/atom. The value obtained for the theoretical density is 5.42 g/cm³. The total DFT energy (no corrections) comes out at -3.955 eV per atom. The uncorrected formation energy comes out at 0.61 eV per atom.

It has space group P4/mmm (No. 123), with a = 5.873 Å, b = 5.873 Å, c = 5.241 Å, α = 90.00°, β = 90.00° and γ = 90.00°. The distinct sites, in fractional coordinates, are Ca at (0.000, 0.000, 0.000), Cr at (0.500, 0.500, 0.500), Bi at (0.000, 0.500, 0.000) and Br at (0.000, 0.000, 0.500).

---

5.
Computed, not measured: an optimized crystal structure of Sc2CrPb at the PBEsol level of DFT.

The calculation puts the density of states at the Fermi level at 1.05 states/eV/atom. The total magnetic moment is 0.856 μB/atom. The value obtained for the theoretical density is 7.03 g/cm³. The total DFT energy (no corrections) comes out at -6.866 eV per atom. The value obtained for the formation energy is -4 meV per atom.

It has space group P4/mmm (No. 123), with a = 4.470 Å, b = 4.470 Å, c = 4.130 Å, α = 90.00°, β = 90.00° and γ = 90.00°. The distinct sites, in fractional coordinates, are Sc at (0.000, 0.500, 0.000), Cr at (0.000, 0.000, 0.500) and Pb at (0.500, 0.500, 0.500).

---

6.
Computed, not measured: an optimized crystal structure of Tc2OsPb at the PBEsol level of DFT.

The calculation puts the density of states at the Fermi level at 0.66 states/eV/atom. The total magnetic moment is 0.453 μB/atom. The value obtained for the theoretical density is 15.39 g/cm³. The total DFT energy (no corrections) comes out at -8.921 eV per atom. The value obtained for the formation energy is 766 meV per atom.

It has space group F-43m (No. 216), with a = 6.351 Å, b = 6.351 Å, c = 6.351 Å, α = 90.00°, β = 90.00° and γ = 90.00°. The distinct sites, in fractional coordinates, are Tc at (0.000, 0.000, 0.000), Tc at (0.250, 0.250, 0.250), Os at (0.000, 0.000, 0.500) and Pb at (0.250, 0.250, 0.750).

---

7.
Computed, not measured: an optimized crystal structure of SrOs2Br at the PBEsol level of DFT.

The calculation puts the density of states at the Fermi level at 1.03 states/eV/atom. The total magnetic moment is 0.000 μB/atom. The value obtained for the theoretical density is 12.60 g/cm³. The total DFT energy (no corrections) comes out at -5.686 eV per atom. The uncorrected formation energy comes out at 1.35 eV per atom.

It has space group R-3m (No. 166, hexagonal axes), with a = 2.9892 Å, b = 2.9892 Å, c = 27.9918 Å, α = 90.00°, β = 90.00° and γ = 120.00°. The distinct sites, in fractional coordinates, are Sr at (0.0000, 0.0000, 0.0000), Os at (0.0000, 0.0000, 0.2408) and Br at (0.0000, 0.0000, 0.5000).

---

8.
Computed, not measured: an optimized crystal structure of Sr2LiFeBi at the PBEsol level of DFT.

The calculation puts the density of states at the Fermi level at 1.32 states/eV/atom. The total magnetic moment is 0.429 μB/atom. The value obtained for the theoretical density is 4.99 g/cm³. The total DFT energy (no corrections) comes out at -3.523 eV per atom. The value obtained for the formation energy is 256 meV per atom.

It has space group P4/mmm (No. 123), with a = 5.552 Å, b = 5.552 Å, c = 4.823 Å, α = 90.00°, β = 90.00° and γ = 90.00°. The distinct sites, in fractional coordinates, are Sr at (0.000, 0.500, 0.000), Li at (0.000, 0.000, 0.500), Fe at (0.000, 0.000, 0.000) and Bi at (0.500, 0.500, 0.500).

---

9.
Computed, not measured: an optimized crystal structure of MnHgTe2 at the PBEsol level of DFT.

The calculation puts the density of states at the Fermi level at 0.59 states/eV/atom. The total magnetic moment is 1.107 μB/atom. The value obtained for the theoretical density is 8.76 g/cm³. The total DFT energy (no corrections) comes out at -3.989 eV per atom. The uncorrected formation energy comes out at 0.36 eV per atom.

It has space group Cmmm (No. 65), with a = 6.143 Å, b = 8.027 Å, c = 3.925 Å, α = 90.00°, β = 90.00° and γ = 90.00°. The distinct sites, in fractional coordinates, are Mn at (0.000, 0.000, 0.000), Hg at (0.000, 0.500, 0.000) and Te at (0.250, 0.250, 0.500).

---

10.
Computed, not measured: an optimized crystal structure of NbCoPS2 at the PBEsol level of DFT.

The calculation puts the density of states at the Fermi level at 1.59 states/eV/atom. The total magnetic moment is 0.553 μB/atom. The value obtained for the theoretical density is 3.86 g/cm³. The total DFT energy (no corrections) comes out at -5.995 eV per atom. The uncorrected formation energy comes out at 0.63 eV per atom.

It has space group P4/mmm (No. 123), with a = 4.675 Å, b = 4.675 Å, c = 4.861 Å, α = 90.00°, β = 90.00° and γ = 90.00°. The distinct sites, in fractional coordinates, are Nb at (0.000, 0.000, 0.000), Co at (0.500, 0.500, 0.500), P at (0.000, 0.000, 0.500) and S at (0.000, 0.500, 0.000).

---

11.
Computed, not measured: an optimized crystal structure of Tl2SiSb at the PBEsol level of DFT.

The calculation puts the density of states at the Fermi level at 0.50 states/eV/atom. The total magnetic moment is 0.000 μB/atom. The value obtained for the theoretical density is 9.22 g/cm³. The total DFT energy (no corrections) comes out at -3.567 eV per atom. The uncorrected formation energy comes out at 0.32 eV per atom.

It has space group I4/mmm (No. 139), with a = 4.364 Å, b = 4.364 Å, c = 10.564 Å, α = 90.00°, β = 90.00° and γ = 90.00°. The distinct sites, in fractional coordinates, are Tl at (0.000, 0.500, 0.250), Si at (0.000, 0.000, 0.000) and Sb at (0.000, 0.000, 0.500).

---

12.
Computed, not measured: an optimized crystal structure of SrLi2Tl at the PBEsol level of DFT.

The calculation puts the density of states at the Fermi level at 1.16 states/eV/atom. The total magnetic moment is 0.000 μB/atom. The value obtained for the theoretical density is 4.74 g/cm³. The total DFT energy (no corrections) comes out at -2.275 eV per atom. The value obtained for the formation energy is -174 meV per atom.

It has space group F-43m (No. 216), with a = 7.537 Å, b = 7.537 Å, c = 7.537 Å, α = 90.00°, β = 90.00° and γ = 90.00°. The distinct sites, in fractional coordinates, are Sr at (0.000, 0.000, 0.000), Li at (0.000, 0.000, 0.500), Li at (0.250, 0.250, 0.750) and Tl at (0.250, 0.250, 0.250).